No. 1
Here is a geometry-optimized FeCoAg2 structure from the Alexandria database. Energies are from PBE.

Calculated volume: 59.3 Å³ per cell
Symmetry: Cmmm, No. 65
Crystal system: orthorhombic
Formation enthalpy at 0 K: 442 meV/atom
DOS(E_F): 3.05 states/eV/f.u.

Cell: 4.8779 4.8779 2.7093 Å, 90.00 90.00 113.05°
Last column: nearest neighbours and their distance in Å.
Positions (direct):
Ag: 0.0000 0.0000 0.0000  4 Ag 2.69-2.71, 4 Fe 2.79, 4 Co 2.79
Ag: 0.5000 0.5000 0.0000  4 Ag 2.69-2.71, 4 Co 2.79, 4 Fe 2.79
Co: 0.5000 0.0000 0.5000  2 Fe 2.69, 2 Co 2.71, 8 Ag 2.79
Fe: 0.0000 0.5000 0.5000  2 Co 2.69, 2 Fe 2.71, 8 Ag 2.79

No. 2
Here is a geometry-optimized Pm8C3O structure from the Alexandria database. Energies are from PBE.

Calculated volume: 296.7 Å³ per cell
Symmetry: C2/m, No. 12
Formation energy (no corrections): -0.56 eV/atom
Crystal system: monoclinic
DOS(E_F): 10.59 states/eV/f.u.

Cell: 7.3299 7.3381 7.6652 Å, 118.83 90.00 119.96°
Last column: nearest neighbours and their distance in Å.
Positions (direct):
Pm: 0.2583 0.5166 0.7763  3 C 2.55
Pm: 0.7417 0.4834 0.2237  3 C 2.55
Pm: 0.2621 0.0212 0.7816  2 C 2.53, 1 O 2.54
Pm: 0.7591 0.0212 0.7816  2 C 2.53, 1 O 2.54
Pm: 0.7588 0.5176 0.7815  2 C 2.53, 1 O 2.55
Pm: 0.2412 0.4824 0.2185  2 C 2.53, 1 O 2.55
Pm: 0.2409 0.9788 0.2184  2 C 2.53, 1 O 2.54
Pm: 0.7379 0.9788 0.2184  2 C 2.53, 1 O 2.54
C: 0.5000 0.0000 0.0000  6 Pm 2.53-2.55
C: 0.5000 0.5000 0.0000  6 Pm 2.53-2.55
C: 0.0000 0.5000 0.0000  6 Pm 2.53-2.55
O: 0.0000 0.0000 0.0000  6 Pm 2.54-2.55

No. 3
Here is a geometry-optimized TlSb4W structure from the Alexandria database. Energies are from PBE.

Calculated volume: 171.0 Å³ per cell
Symmetry: F-43m, No. 216
Formation energy (no corrections): 1.04 eV/atom
Crystal system: cubic
DOS(E_F): 4.37 states/eV/f.u.

Cell: 6.2306 6.2306 6.2306 Å, 60.00 60.00 60.00°
Last column: nearest neighbours and their distance in Å.
Positions (direct):
Tl: 0.7500 0.7500 0.7500  12 Sb 3.65, 4 W 3.82
Sb: 0.8749 0.3750 0.3750  6 Sb 3.11-3.12
Sb: 0.3750 0.3750 0.8749  6 Sb 3.11-3.12
Sb: 0.3750 0.8749 0.3750  6 Sb 3.11-3.12
Sb: 0.3750 0.3750 0.3750  6 Sb 3.11-3.12
W: 0.0000 0.0000 0.0000  12 Sb 3.65, 4 Tl 3.82

No. 4
Here is a geometry-optimized BeAs2Pt structure from the Alexandria database. Energies are from PBE.

Calculated volume: 63.7 Å³ per cell
Symmetry: P4/mmm, No. 123
Crystal system: tetragonal
Formation enthalpy at 0 K: 206 meV/atom
DOS(E_F): 1.15 states/eV/f.u.

Cell: 3.4969 3.4963 5.2096 Å, 90.00 90.00 90.00°
Last column: nearest neighbours and their distance in Å.
Positions (direct):
Be: 0.5000 0.5000 0.2500  2 Pt 2.60, 8 As 2.78
As: 0.0000 0.0000 0.0046  2 As 2.56-2.65, 4 Be 2.78, 4 Pt 2.81
As: 0.0000 0.0000 0.4954  2 As 2.56-2.65, 4 Be 2.78, 4 Pt 2.81
Pt: 0.5000 0.5000 0.7500  2 Be 2.60, 8 As 2.81

No. 5
Here is a geometry-optimized MoPb2 structure from the Alexandria database. Energies are from PBE.

Calculated volume: 308.8 Å³ per cell
Symmetry: Pnma, No. 62
ΔE to the lowest computed polymorph: 297.2 meV per atom
Crystal system: orthorhombic
Formation enthalpy at 0 K: 695 meV/atom
DOS(E_F): 1.72 states/eV/f.u.

Cell: 5.4421 5.5579 10.2097 Å, 90.00 90.00 90.00°
Last column: nearest neighbours and their distance in Å.
Positions (direct):
Pb: 0.2500 0.9666 0.8425  3 Mo 2.76-2.89
Pb: 0.7500 0.5334 0.3425  3 Mo 2.76-2.89
Pb: 0.2500 0.4666 0.6575  3 Mo 2.76-2.89
Pb: 0.7500 0.0334 0.1575  3 Mo 2.76-2.89
Pb: 0.2500 0.0702 0.4073  3 Mo 2.78-2.93
Pb: 0.7500 0.4298 0.9073  3 Mo 2.78-2.93
Pb: 0.2500 0.5702 0.0927  3 Mo 2.78-2.93
Pb: 0.7500 0.9298 0.5927  3 Mo 2.78-2.93
Mo: 0.2500 0.5734 0.3801  6 Pb 2.76-2.93
Mo: 0.7500 0.9266 0.8801  6 Pb 2.76-2.93
Mo: 0.2500 0.0734 0.1199  6 Pb 2.76-2.93
Mo: 0.7500 0.4266 0.6199  6 Pb 2.76-2.93

No. 6
Here is a geometry-optimized Ba3Mg5H12 structure from the Alexandria database. Energies are from PBE.

Calculated volume: 1173.7 Å³ per cell
Symmetry: Ia-3d, No. 230
Crystal system: cubic

Cell: 11.5097 11.5097 11.5097 Å, 109.47 109.47 109.47°
Last column: nearest neighbours and their distance in Å.
Positions (direct):
Ba: 0.7500 0.3750 0.1250  8 H 2.64-2.71
Ba: 0.8750 0.7500 0.1250  8 H 2.64-2.71
Ba: 0.3750 0.7500 0.6250  8 H 2.64-2.71
Ba: 0.2500 0.1250 0.3750  8 H 2.64-2.71
Ba: 0.8750 0.1250 0.2500  8 H 2.64-2.71
Ba: 0.3750 0.6250 0.2500  8 H 2.64-2.71
Ba: 0.6250 0.3750 0.7500  8 H 2.64-2.71
Ba: 0.1250 0.8750 0.7500  8 H 2.64-2.71
Ba: 0.7500 0.8750 0.6250  8 H 2.64-2.71
Ba: 0.6250 0.2500 0.3750  8 H 2.64-2.71
Ba: 0.1250 0.2500 0.8750  8 H 2.64-2.71
Ba: 0.2500 0.6250 0.8750  8 H 2.64-2.71
Mg: 0.1250 0.3750 0.2500  4 H 1.94
Mg: 0.0000 0.5000 0.0000  6 H 2.10
Mg: 0.0000 0.0000 0.0000  6 H 2.10
Mg: 0.3750 0.2500 0.1250  4 H 1.94
Mg: 0.5000 0.0000 0.5000  6 H 2.10
Mg: 0.5000 0.5000 0.0000  6 H 2.10
Mg: 0.1250 0.7500 0.3750  4 H 1.94
Mg: 0.7500 0.1250 0.8750  4 H 1.94
Mg: 0.7500 0.6250 0.3750  4 H 1.94
Mg: 0.3750 0.1250 0.7500  4 H 1.94
Mg: 0.6250 0.8750 0.2500  4 H 1.94
Mg: 0.5000 0.5000 0.5000  6 H 2.10
Mg: 0.5000 0.0000 0.0000  6 H 2.10
Mg: 0.0000 0.0000 0.5000  6 H 2.10
Mg: 0.2500 0.3750 0.6250  4 H 1.94
Mg: 0.2500 0.8750 0.1250  4 H 1.94
Mg: 0.0000 0.5000 0.5000  6 H 2.10
Mg: 0.8750 0.2500 0.6250  4 H 1.94
Mg: 0.6250 0.7500 0.8750  4 H 1.94
Mg: 0.8750 0.6250 0.7500  4 H 1.94
H: 0.6958 0.1088 0.0143  2 Mg 1.94-2.10
H: 0.3185 0.5143 0.4055  2 Mg 1.94-2.10
H: 0.9857 0.3912 0.3042  2 Mg 1.94-2.10
H: 0.5143 0.1958 0.1088  2 Mg 1.94-2.10
H: 0.5870 0.6958 0.6815  2 Mg 1.94-2.10
H: 0.9857 0.5945 0.1815  2 Mg 1.94-2.10
H: 0.3185 0.8042 0.4130  2 Mg 1.94-2.10
H: 0.0945 0.9130 0.1088  2 Mg 1.94-2.10
H: 0.5945 0.9857 0.6815  2 Mg 1.94-2.10
H: 0.6958 0.5870 0.1815  2 Mg 1.94-2.10
H: 0.8042 0.4857 0.3912  2 Mg 1.94-2.10
H: 0.8185 0.9055 0.0143  2 Mg 1.94-2.10
H: 0.1088 0.6958 0.5143  2 Mg 1.94-2.10
H: 0.3912 0.4055 0.0870  2 Mg 1.94-2.10
H: 0.0870 0.9055 0.3912  2 Mg 1.94-2.10
H: 0.4130 0.1088 0.5945  2 Mg 1.94-2.10
H: 0.0870 0.1815 0.1958  2 Mg 1.94-2.10
H: 0.4857 0.6815 0.0945  2 Mg 1.94-2.10
H: 0.8185 0.9130 0.3042  2 Mg 1.94-2.10
H: 0.1088 0.4130 0.0945  2 Mg 1.94-2.10
H: 0.3912 0.9857 0.8042  2 Mg 1.94-2.10
H: 0.5945 0.6088 0.4130  2 Mg 1.94-2.10
H: 0.9055 0.8185 0.5143  2 Mg 1.94-2.10
H: 0.8042 0.3185 0.9130  2 Mg 1.94-2.10
H: 0.4055 0.3912 0.5870  2 Mg 1.94-2.10
H: 0.0945 0.1815 0.4857  2 Mg 1.94-2.10
H: 0.1958 0.6815 0.0870  2 Mg 1.94-2.10
H: 0.1815 0.0870 0.6958  2 Mg 1.94-2.10
H: 0.6088 0.0143 0.1958  2 Mg 1.94-2.10
H: 0.8912 0.5870 0.9055  2 Mg 1.94-2.10
H: 0.5143 0.3185 0.9055  2 Mg 1.94-2.10
H: 0.5870 0.8912 0.4055  2 Mg 1.94-2.10
H: 0.9130 0.8185 0.8042  2 Mg 1.94-2.10
H: 0.9130 0.0945 0.6088  2 Mg 1.94-2.10
H: 0.8912 0.3042 0.4857  2 Mg 1.94-2.10
H: 0.1815 0.0945 0.9857  2 Mg 1.94-2.10
H: 0.6088 0.5945 0.9130  2 Mg 1.94-2.10
H: 0.4055 0.0143 0.3185  2 Mg 1.94-2.10
H: 0.3042 0.4130 0.8185  2 Mg 1.94-2.10
H: 0.1958 0.5143 0.6088  2 Mg 1.94-2.10
H: 0.9055 0.0870 0.8912  2 Mg 1.94-2.10
H: 0.6815 0.1958 0.5870  2 Mg 1.94-2.10
H: 0.4857 0.8042 0.8912  2 Mg 1.94-2.10
H: 0.0143 0.4055 0.8185  2 Mg 1.94-2.10
H: 0.4130 0.3042 0.3185  2 Mg 1.94-2.10
H: 0.0143 0.6088 0.6958  2 Mg 1.94-2.10
H: 0.6815 0.4857 0.5945  2 Mg 1.94-2.10
H: 0.3042 0.8912 0.9857  2 Mg 1.94-2.10

No. 7
Here is a geometry-optimized Si2RhNO structure from the Alexandria database. Energies are from PBE.

Calculated volume: 122.1 Å³ per cell
Symmetry: Cm, No. 8
Formation energy (no corrections): -1.11 eV/atom
ΔE to the lowest computed polymorph: 115.7 meV per atom
Crystal system: monoclinic

Cell: 4.7885 3.0314 9.0776 Å, 90.00 112.06 90.00°
Last column: nearest neighbours and their distance in Å.
Positions (direct):
Si: 0.4043 0.0000 0.7739  1 O 1.76, 1 N 1.78
Si: 0.4043 0.5000 0.2739  1 O 1.76, 1 N 1.78
Si: 0.0689 0.0000 0.4370  1 O 1.68, 2 N 1.85
Si: 0.0689 0.5000 0.9370  1 O 1.68, 2 N 1.85
Rh: 0.6718 0.0000 0.2001  3 Si 2.24-2.27, 1 N 2.37
Rh: 0.6718 0.5000 0.7001  3 Si 2.24-2.27, 1 N 2.37
N: 0.2942 0.0000 0.9412  3 Si 1.78-1.85
N: 0.2942 0.5000 0.4412  3 Si 1.78-1.85
O: 0.0487 0.0000 0.6184  2 Si 1.68-1.76
O: 0.0487 0.5000 0.1184  2 Si 1.68-1.76

No. 8
Here is a geometry-optimized TaTc2Os structure from the Alexandria database. Energies are from PBE.

Calculated volume: 61.7 Å³ per cell
Symmetry: I4/mmm, No. 139
ΔE to the lowest computed polymorph: 49.4 meV per atom
Crystal system: tetragonal
Formation enthalpy at 0 K: 4 meV/atom
DOS(E_F): 5.72 states/eV/f.u.

Cell: 4.8813 4.8813 4.8813 Å, 132.68 132.68 69.16°
Last column: nearest neighbours and their distance in Å.
Positions (direct):
Os: 0.2500 0.7500 0.5000  4 Ta 2.77, 8 Tc 2.81
Ta: 0.7500 0.2500 0.5000  4 Os 2.77, 8 Tc 2.81
Tc: 0.0000 0.0000 0.0000  4 Tc 2.77, 4 Os 2.81, 4 Ta 2.81
Tc: 0.5000 0.5000 0.0000  4 Tc 2.77, 4 Ta 2.81, 4 Os 2.81

No. 9
Here is a geometry-optimized Zr2ScIn structure from the Alexandria database. Energies are from PBE.

Calculated volume: 91.8 Å³ per cell
Symmetry: Cm, No. 8
Crystal system: monoclinic
Formation enthalpy at 0 K: -155 meV/atom
DOS(E_F): 4.90 states/eV/f.u.

Cell: 5.5602 5.5602 5.4481 Å, 77.29 77.29 34.04°
Last column: nearest neighbours and their distance in Å.
Positions (direct):
In: 0.4979 0.4979 0.4907  3 Sc 3.08-3.22, 7 Zr 3.12-3.39, 2 In 3.25
Sc: 0.2434 0.2434 0.2650  3 In 3.08-3.22, 7 Zr 3.17-3.27, 2 Sc 3.25
Zr: 0.0035 0.0035 0.9828  5 Zr 3.13-3.25, 4 In 3.15-3.20, 3 Sc 3.27
Zr: 0.7551 0.7551 0.7615  3 In 3.12-3.39, 5 Zr 3.13-3.25, 4 Sc 3.17-3.18

No. 10
Here is a geometry-optimized La2CoOs structure from the Alexandria database. Energies are from PBE.

Calculated volume: 86.6 Å³ per cell
Symmetry: I-4m2, No. 119
Crystal system: tetragonal
Formation enthalpy at 0 K: 305 meV/atom
DOS(E_F): 5.71 states/eV/f.u.

Cell: 5.7981 5.7981 5.7981 Å, 137.90 137.90 61.06°
Last column: nearest neighbours and their distance in Å.
Positions (direct):
Co: 0.7500 0.2500 0.5000  8 La 2.95-3.25, 4 Os 3.25
La: 0.0000 0.0000 0.0000  4 Os 2.95, 4 La 3.25, 4 Co 3.25
La: 0.2500 0.7500 0.5000  4 Co 2.95, 4 La 3.25, 4 Os 3.25
Os: 0.5000 0.5000 0.0000  8 La 2.95-3.25, 4 Co 3.25

No. 11
Here is a geometry-optimized Rb2ScAsN structure from the Alexandria database. Energies are from PBE.

Calculated volume: 197.7 Å³ per cell
Symmetry: P4/mmm, No. 123
Formation energy (no corrections): 0.87 eV/atom
Crystal system: tetragonal
DOS(E_F): 6.89 states/eV/f.u.

Cell: 7.1911 7.1911 3.8238 Å, 90.00 90.00 90.00°
Last column: nearest neighbours and their distance in Å.
Positions (direct):
Sc: 0.5000 0.5000 0.5000  2 Sc 3.82, 8 Rb 4.07
As: 0.0000 0.0000 0.0000  2 N 1.91
Rb: 0.0000 0.5000 0.0000  2 As 3.60, 2 Rb 3.82
Rb: 0.5000 0.0000 0.0000  2 As 3.60, 2 Rb 3.82
N: 0.0000 0.0000 0.5000  2 As 1.91

No. 12
Here is a geometry-optimized NiPtRh2 structure from the Alexandria database. Energies are from PBE.

Calculated volume: 55.3 Å³ per cell
Symmetry: P4mm, No. 99
Crystal system: tetragonal
Formation enthalpy at 0 K: -13 meV/atom
DOS(E_F): 7.07 states/eV/f.u.

Cell: 2.7226 2.7226 7.4579 Å, 90.00 90.00 90.00°
Last column: nearest neighbours and their distance in Å.
Positions (direct):
Ni: 0.0000 0.0000 0.4938  4 Rh 2.60, 4 Pt 2.65, 4 Ni 2.72
Rh: 0.0000 0.0000 0.0085  8 Rh 2.69-2.72, 4 Pt 2.79
Rh: 0.5000 0.5000 0.2597  4 Ni 2.60, 8 Rh 2.69-2.72
Pt: 0.5000 0.5000 0.7380  4 Ni 2.65, 4 Pt 2.72, 4 Rh 2.79

Raw total energy values, unit eV per atom, following the record order: -4.876 -6.451 -4.263 -4.560 -5.388 -2.917 -7.410 -10.949 -6.697 -6.742 -3.381 -6.644.
M_tot values, unit μB/cell, following the record order: 4.6 2.4 4.2 0.0 0.0 0.0 0.0 0.0 0.0 0.9 1.8 0.5.